[1]
# Hg4PtAu

An optimized crystal structure of Hg4PtAu (PBE, Alexandria).

spin magnetization	0.00	Bohr magnetons per cell
space group	F-43m (216)
total DFT energy (no corrections)	-7.6	eV per cell
DOS at the Fermi energy	0.6	states/eV/cell
ΔE_f	0.4903	eV per atom

Cell: 5.685 5.685 5.685 Å, 60.00 60.00 60.00°
Sites, in units of the cell vectors:
Hg 0.874 0.375 0.375
Hg 0.375 0.375 0.874
Hg 0.375 0.874 0.375
Hg 0.375 0.375 0.375
Pt 0.750 0.750 0.750
Au 0.000 0.000 0.000

=====

[2]
# AcPa2TcN5

An optimized crystal structure of AcPa2TcN5 (PBE, Alexandria).

spin magnetization	0.00	Bohr magnetons per cell
space group	I4/mcm (140)
formation energy from raw total energies	-10.77	eV per formula unit
total DFT energy (no corrections)	-171.7	eV per cell
DOS at the Fermi energy	12.0	states/eV/cell

Cell: 6.654 6.654 7.544 Å, 116.17 116.17 90.00°
Sites, in units of the cell vectors:
Ac 0.250 0.250 0.500
Ac 0.750 0.750 0.500
Pa 0.180 0.320 0.000
Pa 0.680 0.180 0.000
Pa 0.320 0.820 0.000
Pa 0.820 0.680 0.000
Tc 0.250 0.750 0.500
Tc 0.750 0.250 0.500
N 0.984 0.484 0.258
N 0.726 0.226 0.742
N 0.016 0.516 0.742
N 0.226 0.016 0.742
N 0.516 0.726 0.742
N 0.774 0.984 0.258
N 0.484 0.274 0.258
N 0.274 0.774 0.258
N 0.500 0.500 0.000
N 0.000 0.000 0.000

=====

[3]
# Ce3As

An optimized crystal structure of Ce3As (PBE, Alexandria).

spin magnetization	1.55	Bohr magnetons per cell
space group	I4/mmm (139)
total DFT energy (no corrections)	-24.6	eV per cell
DOS at the Fermi energy	10.4	states/eV/cell
ΔE_f	-0.5387	eV per atom

Cell: 4.508 4.508 5.652 Å, 113.50 113.50 90.00°
Each line ends with the local moment (μB).
Sites, in units of the cell vectors:
As 0.000 0.000 0.000  -0.01
Ce 0.750 0.250 0.500  0.41
Ce 0.250 0.750 0.500  0.41
Ce 0.500 0.500 0.000  0.44

=====

[4]
# Ga2Ge2Pb

An optimized crystal structure of Ga2Ge2Pb (PBE, Alexandria).

spin magnetization	0.00	Bohr magnetons per cell
space group	P4/mbm (127)
total DFT energy (no corrections)	-36.6	eV per cell
DOS at the Fermi energy	4.9	states/eV/cell
ΔE_f	0.1439	eV per atom

Cell: 8.209 8.209 3.212 Å, 90.00 90.00 90.00°
Sites, in units of the cell vectors:
Pb 0.000 0.000 0.000
Pb 0.500 0.500 0.000
Ge 0.358 0.858 0.000
Ge 0.858 0.642 0.000
Ge 0.642 0.142 0.000
Ge 0.142 0.358 0.000
Ga 0.148 0.648 0.500
Ga 0.648 0.852 0.500
Ga 0.852 0.352 0.500
Ga 0.352 0.148 0.500

=====

[5]
# SmYGeAu

An optimized crystal structure of SmYGeAu (PBE, Alexandria).

spin magnetization	0.00	Bohr magnetons per cell
space group	Amm2 (38)
total DFT energy (no corrections)	-22.5	eV per cell
DOS at the Fermi energy	2.5	states/eV/cell
ΔE_f	-0.8476	eV per atom

Cell: 4.094 4.354 5.918 Å, 90.00 110.24 90.00°
Sites, in units of the cell vectors:
Sm 0.859 0.500 0.717
Y 0.137 0.000 0.274
Ge 0.587 0.500 0.173
Au 0.418 0.000 0.836

=====

[6]
# Y2ScSe4

An optimized crystal structure of Y2ScSe4 (PBE, Alexandria).

spin magnetization	0.00	Bohr magnetons per cell
space group	Imma (74)
formation energy from raw total energies	-12.72	eV per formula unit
total DFT energy (no corrections)	-91.8	eV per cell
DOS at the Fermi energy	4.4	states/eV/cell

Cell: 8.006 7.941 7.941 Å, 60.82 59.72 59.72°
Sites, in units of the cell vectors:
Y 0.000 0.000 0.000
Y 0.000 0.000 0.500
Y 0.000 0.500 0.500
Y 0.500 0.000 0.500
Sc 0.500 0.500 0.000
Sc 0.000 0.500 0.000
Se 0.259 0.250 0.231
Se 0.741 0.269 0.250
Se 0.259 0.731 0.750
Se 0.741 0.750 0.769
Se 0.752 0.744 0.244
Se 0.741 0.256 0.756
Se 0.259 0.744 0.244
Se 0.248 0.256 0.756

=====

[7]
# Mg3Tc2

An optimized crystal structure of Mg3Tc2 (PBE, Alexandria).

spin magnetization	0.00	Bohr magnetons per cell
space group	C2/m (12)
total DFT energy (no corrections)	-24.7	eV per cell
DOS at the Fermi energy	2.6	states/eV/cell
ΔE_f	0.1571	eV per atom

Cell: 7.322 7.322 2.956 Å, 85.72 85.72 34.26°
Sites, in units of the cell vectors:
Mg 0.385 0.385 0.960
Mg 0.000 0.000 0.500
Mg 0.615 0.615 0.040
Tc 0.210 0.210 0.577
Tc 0.790 0.790 0.423

=====

[8]
# ZrTc3W2

An optimized crystal structure of ZrTc3W2 (PBE, Alexandria).

spin magnetization	0.00	Bohr magnetons per cell
space group	P4/mmm (123)
total DFT energy (no corrections)	-66.4	eV per cell
DOS at the Fermi energy	2.8	states/eV/cell
ΔE_f	-0.1410	eV per atom

Cell: 3.166 3.166 9.683 Å, 90.00 90.00 90.00°
Sites, in units of the cell vectors:
Zr 0.500 0.500 0.500
Tc 0.000 0.000 0.000
Tc 0.000 0.000 0.681
Tc 0.000 0.000 0.319
W 0.500 0.500 0.835
W 0.500 0.500 0.165

=====

[9]
# HgCF4

An optimized crystal structure of HgCF4 (PBE, Alexandria).

spin magnetization	0.00	Bohr magnetons per cell
space group	Pnma (62)
formation energy from raw total energies	-9.04	eV per formula unit
total DFT energy (no corrections)	-104.2	eV per cell
DOS at the Fermi energy	0.0	states/eV/cell

Cell: 8.305 8.978 7.889 Å, 90.00 90.00 90.00°
Sites, in units of the cell vectors:
Hg 0.250 0.186 0.124
Hg 0.750 0.814 0.876
Hg 0.250 0.314 0.624
Hg 0.750 0.686 0.376
C 0.750 0.321 0.876
C 0.250 0.821 0.624
C 0.750 0.179 0.376
C 0.250 0.679 0.124
F 0.250 0.906 0.483
F 0.750 0.094 0.517
F 0.382 0.765 0.125
F 0.250 0.590 0.262
F 0.750 0.406 0.017
F 0.118 0.765 0.125
F 0.250 0.594 0.983
F 0.882 0.265 0.375
F 0.882 0.235 0.875
F 0.750 0.090 0.238
F 0.118 0.735 0.625
F 0.750 0.410 0.738
F 0.618 0.235 0.875
F 0.250 0.910 0.762
F 0.382 0.735 0.625
F 0.618 0.265 0.375

=====

[10]
# Ce9Tm4In11

An optimized crystal structure of Ce9Tm4In11 (PBE, Alexandria).

spin magnetization	6.77	Bohr magnetons per cell
space group	Cmmm (65)
total DFT energy (no corrections)	-108.9	eV per cell
DOS at the Fermi energy	55.6	states/eV/cell
ΔE_f	-0.3116	eV per atom

Cell: 3.340 14.764 14.764 Å, 116.41 90.00 90.00°
Each line ends with the local moment (μB).
Sites, in units of the cell vectors:
Ce 0.500 0.639 0.182  -0.73
Ce 0.500 0.361 0.818  -0.73
Ce 0.500 0.182 0.639  -0.73
Ce 0.500 0.818 0.361  -0.73
Ce 0.500 0.794 0.966  -0.90
Ce 0.500 0.206 0.034  -0.90
Ce 0.500 0.966 0.794  -0.90
Ce 0.500 0.034 0.206  -0.90
Ce 0.500 0.500 0.500  1.12
Tm 0.500 0.571 0.766  -0.01
Tm 0.500 0.429 0.234  -0.01
Tm 0.500 0.766 0.571  -0.01
Tm 0.500 0.234 0.429  -0.01
In 0.000 0.588 0.962  0.00
In 0.000 0.412 0.038  0.00
In 0.000 0.962 0.588  0.00
In 0.000 0.038 0.412  0.00
In 0.000 0.622 0.378  0.01
In 0.000 0.378 0.622  0.01
In 0.000 0.827 0.173  0.01
In 0.000 0.173 0.827  0.01
In 0.000 0.000 0.000  0.00
In 0.000 0.739 0.739  0.00
In 0.000 0.261 0.261  0.00

=====

[11]
# Y6Ga3O

An optimized crystal structure of Y6Ga3O (PBE, Alexandria).

spin magnetization	0.00	Bohr magnetons per cell
space group	Cmc2_1 (36)
formation energy from raw total energies	-9.19	eV per formula unit
total DFT energy (no corrections)	-124.0	eV per cell
DOS at the Fermi energy	18.6	states/eV/cell

Cell: 6.302 8.970 8.970 Å, 100.40 90.00 90.00°
Sites, in units of the cell vectors:
Y 0.189 0.764 0.687
Y 0.689 0.687 0.764
Y 0.207 0.452 0.871
Y 0.707 0.871 0.452
Y 0.980 0.083 0.917
Y 0.716 0.307 0.693
Y 0.216 0.693 0.307
Y 0.480 0.917 0.083
Y 0.207 0.129 0.548
Y 0.707 0.548 0.129
Y 0.189 0.313 0.236
Y 0.689 0.236 0.313
Ga 0.521 0.009 0.763
Ga 0.021 0.763 0.009
Ga 0.417 0.483 0.517
Ga 0.917 0.517 0.483
Ga 0.021 0.991 0.237
Ga 0.521 0.237 0.991
O 0.038 0.247 0.753
O 0.538 0.753 0.247

=====

[12]
# NbINO2

An optimized crystal structure of NbINO2 (PBE, Alexandria).

spin magnetization	1.29	Bohr magnetons per cell
space group	P4/mmm (123)
formation energy from raw total energies	-1.57	eV per formula unit
total DFT energy (no corrections)	-31.4	eV per cell
DOS at the Fermi energy	2.3	states/eV/cell

Cell: 3.891 3.891 5.913 Å, 90.00 90.00 90.00°
Each line ends with the local moment (μB).
Sites, in units of the cell vectors:
I 0.000 0.000 0.500  0.01
Nb 0.000 0.000 0.000  0.00
O 0.000 0.500 0.000  0.01
O 0.500 0.000 0.000  0.01
N 0.500 0.500 0.500  0.82

=====

[13]
# TlH3Se

An optimized crystal structure of TlH3Se (PBE, Alexandria).

spin magnetization	0.00	Bohr magnetons per cell
space group	Pm-3m (221)
total DFT energy (no corrections)	-13.5	eV per cell
DOS at the Fermi energy	1.1	states/eV/cell

Cell: 4.024 4.024 4.024 Å, 90.00 90.00 90.00°
Sites, in units of the cell vectors:
H 0.000 0.500 0.000
H 0.000 0.000 0.500
H 0.500 0.000 0.000
Tl 0.500 0.500 0.500
Se 0.000 0.000 0.000

=====

[14]
# BaLiCa2Pt

An optimized crystal structure of BaLiCa2Pt (PBE, Alexandria).

spin magnetization	0.00	Bohr magnetons per cell
space group	P4/mmm (123)
total DFT energy (no corrections)	-15.5	eV per cell
DOS at the Fermi energy	4.8	states/eV/cell
ΔE_f	-0.3164	eV per atom

Cell: 5.614 5.614 5.440 Å, 90.00 90.00 90.00°
Sites, in units of the cell vectors:
Ca 0.000 0.500 0.000
Ca 0.500 0.000 0.000
Ba 0.500 0.500 0.500
Pt 0.000 0.000 0.000
Li 0.000 0.000 0.500

=====

[15]
# MnTcAgRu2

An optimized crystal structure of MnTcAgRu2 (PBE, Alexandria).

spin magnetization	3.50	Bohr magnetons per cell
space group	P4/mmm (123)
total DFT energy (no corrections)	-33.2	eV per cell
DOS at the Fermi energy	7.4	states/eV/cell
ΔE_f	1.5406	eV per atom

Cell: 4.332 4.713 4.332 Å, 90.00 90.00 90.00°
Each line ends with the local moment (μB).
Sites, in units of the cell vectors:
Ru 0.000 0.000 0.500  0.12
Ru 0.500 0.000 0.000  0.20
Mn 0.000 0.000 0.000  0.15
Tc 0.500 0.500 0.500  2.72
Ag 0.000 0.500 0.000  0.01

=====

[16]
# Ba2GaSnPd

An optimized crystal structure of Ba2GaSnPd (PBE, Alexandria).

spin magnetization	0.00	Bohr magnetons per cell
space group	P4/mmm (123)
total DFT energy (no corrections)	-16.0	eV per cell
DOS at the Fermi energy	7.7	states/eV/cell
ΔE_f	0.0039	eV per atom

Cell: 6.594 4.969 6.594 Å, 90.00 90.00 90.00°
Sites, in units of the cell vectors:
Ga 0.500 0.500 0.500
Ba 0.000 0.000 0.500
Ba 0.500 0.000 0.000
Pd 0.000 0.500 0.000
Sn 0.000 0.000 0.000

=====

[17]
# BaSc2Au2

An optimized crystal structure of BaSc2Au2 (PBE, Alexandria).

spin magnetization	0.00	Bohr magnetons per cell
space group	P4/mbm (127)
total DFT energy (no corrections)	-47.0	eV per cell
DOS at the Fermi energy	7.9	states/eV/cell
ΔE_f	-0.4745	eV per atom

Cell: 8.457 8.457 3.333 Å, 90.00 90.00 90.00°
Sites, in units of the cell vectors:
Sc 0.366 0.866 0.000
Sc 0.866 0.634 0.000
Sc 0.634 0.134 0.000
Sc 0.134 0.366 0.000
Au 0.154 0.654 0.500
Au 0.654 0.846 0.500
Au 0.846 0.346 0.500
Au 0.346 0.154 0.500
Ba 0.000 0.000 0.000
Ba 0.500 0.500 0.000

=====

[18]
# Zr2TiSnO

An optimized crystal structure of Zr2TiSnO (PBE, Alexandria).

spin magnetization	0.00	Bohr magnetons per cell
space group	P4/mmm (123)
formation energy from raw total energies	-6.07	eV per formula unit
total DFT energy (no corrections)	-40.0	eV per cell
DOS at the Fermi energy	5.6	states/eV/cell

Cell: 4.647 4.647 4.008 Å, 90.00 90.00 90.00°
Sites, in units of the cell vectors:
O 0.000 0.000 0.000
Sn 0.500 0.500 0.500
Zr 0.000 0.500 0.000
Zr 0.500 0.000 0.000
Ti 0.000 0.000 0.500

=====

[19]
# CeBeSn

An optimized crystal structure of CeBeSn (PBE, Alexandria).

spin magnetization	1.66	Bohr magnetons per cell
space group	Cmcm (63)
total DFT energy (no corrections)	-26.4	eV per cell
DOS at the Fermi energy	10.3	states/eV/cell
ΔE_f	0.1574	eV per atom

Cell: 4.910 3.311 8.534 Å, 78.82 90.00 90.00°
Each line ends with the local moment (μB).
Sites, in units of the cell vectors:
Ce 0.250 0.142 0.715  0.65
Ce 0.750 0.858 0.285  0.65
Sn 0.250 0.454 0.093  0.00
Sn 0.750 0.546 0.907  0.00
Be 0.750 0.693 0.614  0.02
Be 0.250 0.307 0.386  0.02

=====

[20]
# InHIr3

An optimized crystal structure of InHIr3 (PBE, Alexandria).

spin magnetization	3.00	Bohr magnetons per cell
space group	Pm-3m (221)
total DFT energy (no corrections)	-18.9	eV per cell
DOS at the Fermi energy	7.3	states/eV/cell

Cell: 4.944 4.944 4.944 Å, 90.00 90.00 90.00°
Each line ends with the local moment (μB).
Sites, in units of the cell vectors:
H 0.500 0.500 0.500  0.17
Ir 0.000 0.500 0.000  0.93
Ir 0.000 0.000 0.500  1.09
Ir 0.500 0.000 0.000  0.65
In 0.000 0.000 0.000  -0.06